First-principles (GGA-PBE) data for TaNiTe2I after structural relaxation, as listed in Alexandria.

a = 4.9971 Å, b = 4.9971 Å, c = 4.9559 Å
α = 90.00°, β = 90.00°, γ = 90.00°
Fractional coordinates of all 5 atoms:
Ta  0.0000  0.0000  0.0000
Ni  0.5000  0.5000  0.5000
Te  0.0000  0.5000  0.5000
Te  0.5000  0.0000  0.5000
I  0.5000  0.5000  0.0000

Output
D(E_F): 1.224 states/eV/atom
energy relative to the elements, uncorrected: 0.9304 eV per atom
SG: P4/mmm

***

First-principles (GGA-PBE) data for TaNiTeI2 after structural relaxation, as listed in Alexandria.

a = 5.5465 Å, b = 5.5465 Å, c = 5.3908 Å
α = 90.00°, β = 90.00°, γ = 90.00°
Fractional coordinates of all 5 atoms:
Ta  0.0000  0.0000  0.0000
Ni  0.5000  0.5000  0.5000
Te  0.0000  0.0000  0.5000
I  0.0000  0.5000  0.0000
I  0.5000  0.0000  0.0000

Output
D(E_F): 3.748 states/eV/atom
energy relative to the elements, uncorrected: 0.8612 eV per atom
SG: P4/mmm

***

First-principles (GGA-PBE) data for TaNiTeI2 after structural relaxation, as listed in Alexandria.

a = 4.9939 Å, b = 4.9939 Å, c = 5.1147 Å
α = 90.00°, β = 90.00°, γ = 90.00°
Fractional coordinates of all 5 atoms:
Ta  0.0000  0.0000  0.0000
Ni  0.5000  0.5000  0.5000
Te  0.5000  0.5000  0.0000
I  0.0000  0.5000  0.5000
I  0.5000  0.0000  0.5000

Output
D(E_F): 1.285 states/eV/atom
energy relative to the elements, uncorrected: 1.0272 eV per atom
SG: P4/mmm

***

First-principles (GGA-PBE) data for TaNiTe2I after structural relaxation, as listed in Alexandria.

a = 5.3669 Å, b = 5.3669 Å, c = 5.6471 Å
α = 90.00°, β = 90.00°, γ = 90.00°
Fractional coordinates of all 5 atoms:
Ta  0.0000  0.0000  0.0000
Ni  0.5000  0.5000  0.5000
Te  0.0000  0.5000  0.0000
Te  0.5000  0.0000  0.0000
I  0.0000  0.0000  0.5000

Output
D(E_F): 2.168 states/eV/atom
energy relative to the elements, uncorrected: 0.8215 eV per atom
SG: P4/mmm

***

Please write out number 1 again, unchanged.
First-principles (GGA-PBE) data for TaNiTe2I after structural relaxation, as listed in Alexandria.

a = 4.9971 Å, b = 4.9971 Å, c = 4.9559 Å
α = 90.00°, β = 90.00°, γ = 90.00°
Fractional coordinates of all 5 atoms:
Ta  0.0000  0.0000  0.0000
Ni  0.5000  0.5000  0.5000
Te  0.0000  0.5000  0.5000
Te  0.5000  0.0000  0.5000
I  0.5000  0.5000  0.0000

Output
D(E_F): 1.224 states/eV/atom
energy relative to the elements, uncorrected: 0.9304 eV per atom
SG: P4/mmm